Record 1
VASP calculation (meta-GGA SCAN) on a crystal of BaCrRe2 relaxed with PBEsol.

E above lowest polymorph = 150.3 meV per atom
Calculated formation energy = 487 kJ/mol of formula units
Total magnetization = 1.58 μB/cell
Raw total energy = -195.1 eV/cell
Density of states at the Fermi level = 2.96 states/eV per cell
Mass density = 13.0 g/cm3

a = 5.8129 Å, b = 5.8129 Å, c = 5.8129 Å
α = 151.76°, β = 129.06°, γ = 59.26°
Element x y z (fractional)
Ba: 0.0000 0.0000 0.0000
Cr: 0.5000 0.5000 0.0000
Re: 0.2891 0.7891 0.5000
Re: 0.7109 0.2109 0.5000

Record 2
VASP calculation (meta-GGA SCAN) on a crystal of FeSeBr2 relaxed with PBEsol.

E above lowest polymorph = 0.0 meV per atom
Total magnetization = 1.68 μB/cell
Raw total energy = -77.5 eV/cell
Density of states at the Fermi level = 3.17 states/eV per cell
Mass density = 6.0 g/cm3

a = 8.2236 Å, b = 8.2236 Å, c = 8.2236 Å
α = 24.18°, β = 24.18°, γ = 24.18°
Element x y z (fractional)
Fe: 0.0000 0.0000 0.0000
Se: 0.2773 0.2773 0.2773
Br: 0.5187 0.5187 0.5187
Br: 0.7282 0.7282 0.7282

Record 3
VASP calculation (meta-GGA SCAN) on a crystal of Rh3Au relaxed with PBEsol.

Calculated formation energy = 32 kJ/mol of formula units
Total magnetization = 0.00 μB/cell
Raw total energy = -170.1 eV/cell
Density of states at the Fermi level = 3.96 states/eV per cell
Mass density = 14.7 g/cm3

a = 2.7202 Å, b = 2.7202 Å, c = 7.7425 Å
α = 90.00°, β = 90.00°, γ = 90.00°
Element x y z (fractional)
Rh: 0.0000 0.0000 0.0000
Rh: 0.5000 0.5000 0.2329
Rh: 0.5000 0.5000 0.7671
Au: 0.0000 0.0000 0.5000

Record 4
VASP calculation (meta-GGA SCAN) on a crystal of LiSc2Pt2 relaxed with PBEsol.

Calculated formation energy = -553 kJ/mol of formula units
Total magnetization = 0.00 μB/cell
Raw total energy = -354.0 eV/cell
Density of states at the Fermi level = 5.91 states/eV per cell
Mass density = 8.9 g/cm3

a = 7.3752 Å, b = 7.3752 Å, c = 3.3586 Å
α = 90.00°, β = 90.00°, γ = 90.00°
Element x y z (fractional)
Li: 0.0000 0.0000 0.0000
Li: 0.5000 0.5000 0.0000
Sc: 0.1578 0.3422 0.5000
Sc: 0.3422 0.8422 0.5000
Sc: 0.6578 0.1578 0.5000
Sc: 0.8422 0.6578 0.5000
Pt: 0.1392 0.6392 0.0000
Pt: 0.3608 0.1392 0.0000
Pt: 0.6392 0.8608 0.0000
Pt: 0.8608 0.3608 0.0000

Question: Which of these has the highest total magnetization?
Answer: FeSeBr2